[1]
Compound: Rb2TiGe2
Source: Alexandria via LeMat-Bulk
Functional: PBE-GGA
Structure: optimized geometry

Lattice parameters (Å, degrees): 10.0846 10.0846 2.9929 90.00 90.00 90.00
Fractional positions:
1 Rb 0.1195 0.3805 0.0000
2 Rb 0.3805 0.8805 0.0000
3 Rb 0.6195 0.1195 0.0000
4 Rb 0.8805 0.6195 0.0000
5 Ti 0.0000 0.0000 0.0000
6 Ti 0.5000 0.5000 0.0000
7 Ge 0.1782 0.6782 0.5000
8 Ge 0.3218 0.1782 0.5000
9 Ge 0.6782 0.8218 0.5000
10 Ge 0.8218 0.3218 0.5000

Results
* mass density: 3.97 g cm⁻³
* Fermi-level density of states: 15.3 states/eV per cell

=====

[2]
Compound: ReSb2TeS
Source: Alexandria via LeMat-Bulk
Functional: PBE-GGA
Structure: optimized geometry

Lattice parameters (Å, degrees): 5.2200 5.2200 5.0333 90.00 90.00 90.00
Fractional positions:
1 Re 0.0000 0.0000 0.0000
2 Sb 0.0000 0.5000 0.0000
3 Sb 0.5000 0.0000 0.0000
4 Te 0.0000 0.0000 0.5000
5 S 0.5000 0.5000 0.5000

Results
* mass density: 7.14 g cm⁻³
* Fermi-level density of states: 3.8 states/eV per cell
* formation energy from raw total energies: 0.71 eV per atom

=====

| no. | E_tot (eV per atom) | offset from the most stable computed form (meV/atom) |
| --- | --- | --- |
| 1 | -2.879 | 271 |
| 2 | -4.880 | 0 |